VASP calculation (meta-GGA SCAN) on a PBEsol-optimized structure of Re2TeN.

Computed properties:
total moment	0.000	μB per atom
E_form (uncorrected)	1513	meV/atom
final energy	-182.69	eV/cell

a b c (Å): 4.3038 4.3038 4.3038
angles (deg): 60.00 60.00 60.00
Last column: nearest neighbours and their distance in Å.
Positions (direct):
Re: 0.2500 0.2500 0.2500  4 Te 2.64, 4 N 2.64
Re: 0.7500 0.7500 0.7500  4 Te 2.64, 4 N 2.64
Te: 0.5000 0.5000 0.5000  8 Re 2.64
N: 0.0000 0.0000 0.0000  8 Re 2.64

=====

VASP calculation (meta-GGA SCAN) on a PBEsol-optimized structure of Re3TeN.

Computed properties:
total moment	0.162	μB per atom
E_form (uncorrected)	932	meV/atom
final energy	-255.18	eV/cell

a b c (Å): 4.1395 4.1395 4.1395
angles (deg): 90.00 90.00 90.00
Last column: nearest neighbours and their distance in Å.
Positions (direct):
Re: 0.0000 0.5000 0.0000  2 N 2.07
Re: 0.0000 0.0000 0.5000  2 N 2.07
Re: 0.5000 0.0000 0.0000  2 N 2.07
Te: 0.5000 0.5000 0.5000  12 Re 2.93
N: 0.0000 0.0000 0.0000  6 Re 2.07

=====

VASP calculation (meta-GGA SCAN) on a PBEsol-optimized structure of YReTe2N.

Computed properties:
total moment	0.714	μB per atom
E_form (uncorrected)	1208	meV/atom
final energy	-176.69	eV/cell

a b c (Å): 3.9960 5.7571 5.7571
angles (deg): 90.00 90.00 90.00
Last column: nearest neighbours and their distance in Å.
Positions (direct):
Y: 0.0000 0.0000 0.0000  2 N 2.00
Re: 0.5000 0.5000 0.5000  8 Te 3.50
Te: 0.0000 0.0000 0.5000  2 Y 2.88
Te: 0.0000 0.5000 0.0000  2 Y 2.88
N: 0.5000 0.0000 0.0000  2 Y 2.00

=====

VASP calculation (meta-GGA SCAN) on a PBEsol-optimized structure of TiReN2.

Computed properties:
total moment	0.000	μB per atom
E_form (uncorrected)	-584	meV/atom
final energy	-108.05	eV/cell

a b c (Å): 2.9192 2.9192 6.3287
angles (deg): 76.67 76.67 60.00
Last column: nearest neighbours and their distance in Å.
Positions (direct):
Re: 0.0000 0.0000 0.0000  2 N 1.91
N: 0.8956 0.8956 0.3131  1 Re 1.91, 3 Ti 2.03
N: 0.1044 0.1044 0.6869  1 Re 1.91, 3 Ti 2.03
Ti: 0.5000 0.5000 0.5000  6 N 2.03

=====

VASP calculation (meta-GGA SCAN) on a PBEsol-optimized structure of Tl3ReN.

Computed properties:
total moment	0.759	μB per atom
E_form (uncorrected)	1388	meV/atom
final energy	-290.53	eV/cell

a b c (Å): 5.2605 5.2605 5.2605
angles (deg): 90.00 90.00 90.00
Last column: nearest neighbours and their distance in Å.
Positions (direct):
Re: 0.0000 0.0000 0.0000  6 Tl 2.63
Tl: 0.0000 0.5000 0.0000  2 Re 2.63
Tl: 0.0000 0.0000 0.5000  2 Re 2.63
Tl: 0.5000 0.0000 0.0000  2 Re 2.63
N: 0.5000 0.5000 0.5000  12 Tl 3.72

=====

VASP calculation (meta-GGA SCAN) on a PBEsol-optimized structure of Ta2RuRhN.

Computed properties:
total moment	0.439	μB per atom
E_form (uncorrected)	2230	meV/atom
final energy	-199.91	eV/cell

a b c (Å): 4.5343 4.6783 4.6783
angles (deg): 90.00 90.00 90.00
Last column: nearest neighbours and their distance in Å.
Positions (direct):
Ru: 0.0000 0.0000 0.0000  2 Rh 2.27, 4 Ta 2.34
N: 0.5000 0.5000 0.5000  8 Ta 3.26, 4 Rh 3.31
Rh: 0.5000 0.0000 0.0000  2 Ru 2.27
Ta: 0.0000 0.0000 0.5000  2 Ru 2.34
Ta: 0.0000 0.5000 0.0000  2 Ru 2.34

=====

VASP calculation (meta-GGA SCAN) on a PBEsol-optimized structure of RhSeSN2.

Computed properties:
total moment	0.000	μB per atom
E_form (uncorrected)	1117	meV/atom
final energy	-76.48	eV/cell

a b c (Å): 3.7035 3.7035 5.2682
angles (deg): 90.00 90.00 90.00
Last column: nearest neighbours and their distance in Å.
Positions (direct):
S: 0.0000 0.0000 0.5000  4 Se 2.62, 2 Rh 2.63
Rh: 0.0000 0.0000 0.0000  4 N 1.85
Se: 0.5000 0.5000 0.5000  4 S 2.62
N: 0.0000 0.5000 0.0000  2 Rh 1.85
N: 0.5000 0.0000 0.0000  2 Rh 1.85

=====

VASP calculation (meta-GGA SCAN) on a PBEsol-optimized structure of TaRhS2N.

Computed properties:
total moment	0.356	μB per atom
energy above the lowest structure with this stoichiometry	0.383	eV/atom
E_form (uncorrected)	648	meV/atom
final energy	-125.66	eV/cell

a b c (Å): 3.5469 4.6988 4.6988
angles (deg): 90.00 90.00 90.00
Last column: nearest neighbours and their distance in Å.
Positions (direct):
S: 0.0000 0.0000 0.5000  2 Rh 2.35
S: 0.0000 0.5000 0.0000  2 Rh 2.35
N: 0.5000 0.0000 0.0000  2 Rh 1.77
Rh: 0.0000 0.0000 0.0000  2 N 1.77
Ta: 0.5000 0.5000 0.5000  8 S 2.94

=====

VASP calculation (meta-GGA SCAN) on a PBEsol-optimized structure of TaRhS2N.

Computed properties:
total moment	0.598	μB per atom
energy above the lowest structure with this stoichiometry	0.000	eV/atom
E_form (uncorrected)	265	meV/atom
final energy	-127.58	eV/cell

a b c (Å): 3.8066 4.7870 4.7870
angles (deg): 90.00 90.00 90.00
Last column: nearest neighbours and their distance in Å.
Positions (direct):
S: 0.0000 0.0000 0.5000  2 Ta 2.39
S: 0.0000 0.5000 0.0000  2 Ta 2.39
N: 0.5000 0.0000 0.0000  2 Ta 1.90
Rh: 0.5000 0.5000 0.5000  8 S 3.06, 4 N 3.38
Ta: 0.0000 0.0000 0.0000  2 N 1.90

=====

VASP calculation (meta-GGA SCAN) on a PBEsol-optimized structure of TiRhSN2.

Computed properties:
total moment	0.216	μB per atom
E_form (uncorrected)	581	meV/atom
final energy	-75.11	eV/cell

a b c (Å): 3.7427 3.7427 4.8065
angles (deg): 90.00 90.00 90.00
Last column: nearest neighbours and their distance in Å.
Positions (direct):
S: 0.0000 0.0000 0.5000  2 Rh 2.40, 4 Ti 2.65
N: 0.0000 0.5000 0.0000  2 Rh 1.87
N: 0.5000 0.0000 0.0000  2 Rh 1.87
Rh: 0.0000 0.0000 0.0000  4 N 1.87
Ti: 0.5000 0.5000 0.5000  4 S 2.65

=====

VASP calculation (meta-GGA SCAN) on a PBEsol-optimized structure of Zr2RhSN.

Computed properties:
total moment	0.000	μB per atom
E_form (uncorrected)	-440	meV/atom
final energy	-116.29	eV/cell

a b c (Å): 3.9234 4.4217 4.4217
angles (deg): 90.00 90.00 90.00
Last column: nearest neighbours and their distance in Å.
Positions (direct):
S: 0.5000 0.0000 0.0000  2 N 1.96
Rh: 0.5000 0.5000 0.5000  8 Zr 2.96, 4 S 3.13
Zr: 0.0000 0.0000 0.5000  2 N 2.21
Zr: 0.0000 0.5000 0.0000  2 N 2.21
N: 0.0000 0.0000 0.0000  2 S 1.96

=====

VASP calculation (meta-GGA SCAN) on a PBEsol-optimized structure of ZrRhS2N.

Computed properties:
total moment	0.161	μB per atom
E_form (uncorrected)	-125	meV/atom
final energy	-93.64	eV/cell

a b c (Å): 3.5865 4.7320 4.7320
angles (deg): 90.00 90.00 90.00
Last column: nearest neighbours and their distance in Å.
Positions (direct):
S: 0.0000 0.0000 0.5000  2 Rh 2.37
S: 0.0000 0.5000 0.0000  2 Rh 2.37
Rh: 0.0000 0.0000 0.0000  2 N 1.79
Zr: 0.5000 0.5000 0.5000  8 S 2.97
N: 0.5000 0.0000 0.0000  2 Rh 1.79

=====

VASP calculation (meta-GGA SCAN) on a PBEsol-optimized structure of SbRh2N.

Computed properties:
total moment	0.502	μB per atom
E_form (uncorrected)	699	meV/atom
final energy	-111.30	eV/cell

a b c (Å): 4.2683 4.2683 4.2683
angles (deg): 60.00 60.00 60.00
Last column: nearest neighbours and their distance in Å.
Positions (direct):
Sb: 0.5000 0.5000 0.5000  8 Rh 2.61
Rh: 0.2500 0.2500 0.2500  4 Sb 2.61, 4 N 2.61
Rh: 0.7500 0.7500 0.7500  4 Sb 2.61, 4 N 2.61
N: 0.0000 0.0000 0.0000  8 Rh 2.61

=====

VASP calculation (meta-GGA SCAN) on a PBEsol-optimized structure of SbTe2RhN.

Computed properties:
total moment	0.471	μB per atom
E_form (uncorrected)	1199	meV/atom
final energy	-148.83	eV/cell

a b c (Å): 4.9553 5.2466 5.2466
angles (deg): 90.00 90.00 90.00
Last column: nearest neighbours and their distance in Å.
Positions (direct):
Sb: 0.5000 0.0000 0.0000  2 Rh 2.48
Te: 0.0000 0.0000 0.5000  2 Rh 2.62
Te: 0.0000 0.5000 0.0000  2 Rh 2.62
Rh: 0.0000 0.0000 0.0000  2 Sb 2.48, 4 Te 2.62
N: 0.5000 0.5000 0.5000  8 Te 3.61, 4 Sb 3.71